Here is a relaxed CrCo2ReH crystal from Alexandria. Energies are from GGA-PBE.

The space group is P4/mmm (No. 123) and the conventional cell measures 3.579, 3.579 and 3.816 Å, with angles of 90.00, 90.00 and 90.00 degrees. Symmetry generates all atoms from Cr at (0.000, 0.000, 0.000), Co at (0.000, 0.500, 0.500), Re at (0.500, 0.500, 0.000) and H at (0.000, 0.000, 0.500).

For the excess energy over the best structure of this formula in the dataset, the calculation gives 0.000 eV per atom. The electronic total energy is -39.554 eV for the cell shown.

***

Here is a relaxed CrCo2ReH crystal from Alexandria. Energies are from GGA-PBE.

The space group is P4/mmm (No. 123) and the conventional cell measures 4.485, 4.485 and 3.180 Å, with angles of 90.00, 90.00 and 90.00 degrees. Symmetry generates all atoms from Cr at (0.000, 0.000, 0.000), Co at (0.000, 0.500, 0.500), Re at (0.500, 0.500, 0.500) and H at (0.500, 0.500, 0.000).

For the excess energy over the best structure of this formula in the dataset, the calculation gives 1.280 eV per atom. The electronic total energy is -33.151 eV for the cell shown.